! SrMg4Ni | Alexandria | GGA-PBE | relaxed; values from VASP
! Formation enthalpy at 0 K (eV/atom): -0.113
! Calculated volume (Å³/cell): 290
! Crystal system: orthorhombic
! Offset from the most stable computed form (eV/atom): 0.000
&SYSTEM
  ibrav = 0, nat = 12, ntyp = 3
/
ATOMIC_SPECIES
Sr 87.62 Sr.upf
Mg 24.30 Mg.upf
Ni 58.69 Ni.upf
ATOMIC_POSITIONS crystal
Sr 0.250 0.000 0.090
Sr 0.750 0.000 0.910
Mg 0.000 0.000 0.500
Mg 0.070 0.500 0.789
Mg 0.250 0.500 0.460
Mg 0.430 0.500 0.789
Mg 0.500 0.000 0.500
Mg 0.570 0.500 0.211
Mg 0.750 0.500 0.540
Mg 0.930 0.500 0.211
Ni 0.250 0.000 0.683
Ni 0.750 0.000 0.317
CELL_PARAMETERS angstrom
8.964 0.000 0.000
0.000 4.122 0.000
0.000 0.000 7.847

---

! U2Zn16Cr | Alexandria | GGA-PBE | relaxed; values from VASP
! Formation enthalpy at 0 K (eV/atom): -0.015
! Calculated volume (Å³/cell): 304
! Crystal system: trigonal
&SYSTEM
  ibrav = 0, nat = 19, ntyp = 3
/
ATOMIC_SPECIES
U 238.03 U.upf
Zn 65.41 Zn.upf
Cr 52.00 Cr.upf
ATOMIC_POSITIONS crystal
U 0.000 0.000 0.000
U 0.362 0.362 0.362
Zn 0.025 0.025 0.495
Zn 0.025 0.495 0.025
Zn 0.152 0.668 0.668
Zn 0.307 0.307 0.825
Zn 0.307 0.825 0.307
Zn 0.369 0.660 0.951
Zn 0.369 0.951 0.660
Zn 0.495 0.025 0.025
Zn 0.660 0.369 0.951
Zn 0.660 0.951 0.369
Zn 0.668 0.152 0.668
Zn 0.668 0.668 0.152
Zn 0.751 0.751 0.751
Zn 0.825 0.307 0.307
Zn 0.951 0.369 0.660
Zn 0.951 0.660 0.369
Cr 0.525 0.525 0.525
CELL_PARAMETERS angstrom
4.547 2.625 4.244
-4.547 2.625 4.244
0.000 -5.250 4.244